[1]
# NaTaSN2, optimized geometry, DFT PBE
data_NaTaSN2
_space_group_name_H-M_alt 'P 1'
_space_group_IT_number 1
_space_group_name_Hall 'P 1'
_cell_length_a 4.041
_cell_length_b 4.351
_cell_length_c 4.041
_cell_angle_alpha 90.00
_cell_angle_beta 90.00
_cell_angle_gamma 90.00
loop_
_atom_site_label
_atom_site_fract_x
_atom_site_fract_y
_atom_site_fract_z
Na1 0.000 0.500 0.000
S1 0.000 0.000 0.000
N1 0.000 0.000 0.500
N2 0.500 0.000 0.000
Ta1 0.500 0.500 0.500
# SG = P4/mmm, No. 123
# Energy = -4.6180 eV/atom
# M_tot = 1.8 μB/f.u.
# Fermi-level density of states = 3.3 states/eV/cell
# Formation energy (no corrections) = 2.1720 eV/atom



[2]
# TbEuAl, optimized geometry, DFT PBE
data_TbEuAl
_space_group_name_H-M_alt 'P 1'
_space_group_IT_number 1
_space_group_name_Hall 'P 1'
_cell_length_a 3.508
_cell_length_b 5.228
_cell_length_c 5.228
_cell_angle_alpha 120.00
_cell_angle_beta 90.00
_cell_angle_gamma 90.00
loop_
_atom_site_label
_atom_site_fract_x
_atom_site_fract_y
_atom_site_fract_z
Eu1 0.980 0.000 0.000
Tb1 0.378 0.333 0.667
Al1 0.643 0.667 0.333
# SG = P3m1, No. 156
# Energy = -6.2890 eV/atom
# M_tot = 7.0 μB/f.u.
# Fermi-level density of states = 2.3 states/eV/cell



[3]
# Dy3ThZn4, optimized geometry, DFT PBE
data_Dy3ThZn4
_space_group_name_H-M_alt 'P 1'
_space_group_IT_number 1
_space_group_name_Hall 'P 1'
_cell_length_a 5.076
_cell_length_b 7.203
_cell_length_c 10.154
_cell_angle_alpha 90.00
_cell_angle_beta 90.00
_cell_angle_gamma 90.00
loop_
_atom_site_label
_atom_site_fract_x
_atom_site_fract_y
_atom_site_fract_z
Zn1 0.500 0.757 0.000
Zn2 0.500 0.757 0.500
Zn3 0.500 0.243 0.000
Zn4 0.500 0.243 0.500
Zn5 0.000 0.757 0.750
Zn6 0.000 0.757 0.250
Zn7 0.000 0.243 0.250
Zn8 0.000 0.243 0.750
Th1 0.000 0.500 0.000
Th2 0.000 0.500 0.500
Dy1 0.000 0.000 0.000
Dy2 0.000 0.000 0.500
Dy3 0.500 0.000 0.750
Dy4 0.500 0.000 0.250
Dy5 0.500 0.500 0.750
Dy6 0.500 0.500 0.250
# SG = P4/mmm, No. 123
# Energy = -3.5806 eV/atom
# M_tot = 0.0 μB/f.u.
# Fermi-level density of states = 16.8 states/eV/cell



[4]
# Sb9PO25, optimized geometry, DFT PBE
data_Sb9PO25
_space_group_name_H-M_alt 'P 1'
_space_group_IT_number 1
_space_group_name_Hall 'P 1'
_cell_length_a 11.099
_cell_length_b 11.099
_cell_length_c 11.099
_cell_angle_alpha 91.83
_cell_angle_beta 91.83
_cell_angle_gamma 159.42
loop_
_atom_site_label
_atom_site_fract_x
_atom_site_fract_y
_atom_site_fract_z
Sb1 0.000 0.000 0.000
Sb2 0.924 0.248 0.119
Sb3 0.093 0.297 0.447
Sb4 0.354 0.907 0.205
Sb5 0.752 0.871 0.676
Sb6 0.195 0.076 0.324
Sb7 0.703 0.150 0.795
Sb8 0.850 0.646 0.553
Sb9 0.129 0.805 0.881
P1 0.750 0.250 0.500
O1 0.500 0.500 0.000
O2 0.913 0.094 0.022
O3 0.122 0.154 0.417
O4 0.422 0.790 0.153
O5 0.061 0.302 0.278
O6 0.295 0.878 0.031
O7 0.883 0.385 0.206
O8 0.615 0.821 0.498
O9 0.210 0.363 0.632
O10 0.469 0.965 0.384
O11 0.906 0.928 0.819
O12 0.035 0.419 0.504
O13 0.217 0.939 0.241
O14 0.698 0.976 0.759
O15 0.914 0.531 0.496
O16 0.109 0.087 0.181
O17 0.581 0.086 0.616
O18 0.731 0.578 0.368
O19 0.323 0.117 0.502
O20 0.179 0.677 0.794
O21 0.846 0.264 0.969
O22 0.024 0.783 0.722
O23 0.637 0.269 0.847
O24 0.736 0.705 0.583
O25 0.072 0.891 0.978
# SG = I-4, No. 82
# Energy = -6.0290 eV/atom
# M_tot = 0.2 μB/f.u.
# Fermi-level density of states = 3.6 states/eV/cell
# Formation energy (no corrections) = -1.2728 eV/atom



[5]
# PuMgFeRu, optimized geometry, DFT PBE
data_PuMgFeRu
_space_group_name_H-M_alt 'P 1'
_space_group_IT_number 1
_space_group_name_Hall 'P 1'
_cell_length_a 4.551
_cell_length_b 4.551
_cell_length_c 4.551
_cell_angle_alpha 60.00
_cell_angle_beta 60.00
_cell_angle_gamma 60.00
loop_
_atom_site_label
_atom_site_fract_x
_atom_site_fract_y
_atom_site_fract_z
Ru1 0.750 0.750 0.750
Mg1 0.000 0.000 0.000
Fe1 0.250 0.250 0.250
Pu1 0.500 0.500 0.500
# SG = F-43m, No. 216
# Energy = -8.4557 eV/atom
# M_tot = 2.9 μB/f.u.
# Fermi-level density of states = 5.5 states/eV/cell



[6]
# Rb3AlF7, optimized geometry, DFT PBE
data_Rb3AlF7
_space_group_name_H-M_alt 'P 1'
_space_group_IT_number 1
_space_group_name_Hall 'P 1'
_cell_length_a 5.985
_cell_length_b 8.125
_cell_length_c 8.125
_cell_angle_alpha 90.00
_cell_angle_beta 90.00
_cell_angle_gamma 90.00
loop_
_atom_site_label
_atom_site_fract_x
_atom_site_fract_y
_atom_site_fract_z
Rb1 0.500 0.189 0.689
Rb2 0.500 0.689 0.811
Rb3 0.500 0.311 0.189
Rb4 0.500 0.811 0.311
Rb5 0.000 0.500 0.500
Rb6 0.000 0.000 0.000
Al1 0.000 0.000 0.500
Al2 0.000 0.500 0.000
F1 0.780 0.390 0.890
F2 0.780 0.610 0.110
F3 0.780 0.110 0.390
F4 0.780 0.890 0.610
F5 0.220 0.390 0.890
F6 0.220 0.890 0.610
F7 0.220 0.110 0.390
F8 0.220 0.610 0.110
F9 0.500 0.000 0.000
F10 0.500 0.500 0.500
F11 0.000 0.842 0.342
F12 0.000 0.342 0.158
F13 0.000 0.658 0.842
F14 0.000 0.158 0.658
# SG = P4/mbm, No. 127
# Energy = -4.6437 eV/atom
# M_tot = 1.1 μB/f.u.
# Fermi-level density of states = 29.7 states/eV/cell
# Formation energy (no corrections) = -2.8487 eV/atom



Look up the Fermi-level density of states of the first one.
3.3 states/eV/cell